A | DFT (GGA-PBEsol) results for AgMoPb2 after structural relaxation.

Cell and atoms, written as CIF:
```
data_AgMoPb2
_symmetry_space_group_name_H-M 'P 4/m m m'
_symmetry_Int_Tables_number 123
_symmetry_space_group_name_Hall '-P 4 2'
_cell_length_a 3.5801
_cell_length_b 3.5801
_cell_length_c 6.3627
_cell_angle_alpha 90.00
_cell_angle_beta 90.00
_cell_angle_gamma 90.00
loop_
_atom_site_label
_atom_site_fract_x
_atom_site_fract_y
_atom_site_fract_z
Ag1 0.0000 0.0000 0.0000
Mo1 0.0000 0.0000 0.5000
Pb1 0.5000 0.5000 0.2590
```

---

B | DFT (GGA-PBEsol) results for AgMoPb2 after structural relaxation.

Cell and atoms, written as CIF:
```
data_AgMoPb2
_symmetry_space_group_name_H-M 'C m m m'
_symmetry_Int_Tables_number 65
_symmetry_space_group_name_Hall '-C 2 2'
_cell_length_a 3.7281
_cell_length_b 4.9801
_cell_length_c 9.1982
_cell_angle_alpha 90.00
_cell_angle_beta 90.00
_cell_angle_gamma 90.00
loop_
_atom_site_label
_atom_site_fract_x
_atom_site_fract_y
_atom_site_fract_z
Ag1 0.0000 0.0000 0.0000
Mo1 0.0000 0.0000 0.5000
Pb1 0.0000 0.5000 0.2624
```

---

Which of them is the most stable, and which is the least stable? A and B, in that order.

---

A | DFT (GGA-PBEsol) results for AgMo2Pt after structural relaxation.

Cell and atoms, written as CIF:
```
data_AgMo2Pt
_symmetry_space_group_name_H-M 'I -4 m 2'
_symmetry_Int_Tables_number 119
_symmetry_space_group_name_Hall 'I -4 -2'
_cell_length_a 3.9718
_cell_length_b 3.9718
_cell_length_c 7.7691
_cell_angle_alpha 90.00
_cell_angle_beta 90.00
_cell_angle_gamma 90.00
loop_
_atom_site_label
_atom_site_fract_x
_atom_site_fract_y
_atom_site_fract_z
Ag1 0.0000 0.0000 0.0000
Mo1 0.0000 0.0000 0.5000
Mo2 0.0000 0.5000 0.2500
Pt1 0.0000 0.5000 0.7500
```

---

B | DFT (GGA-PBEsol) results for AgMo2Pt after structural relaxation.

Cell and atoms, written as CIF:
```
data_AgMo2Pt
_symmetry_space_group_name_H-M 'C m m m'
_symmetry_Int_Tables_number 65
_symmetry_space_group_name_Hall '-C 2 2'
_cell_length_a 5.3700
_cell_length_b 8.4230
_cell_length_c 2.6858
_cell_angle_alpha 90.00
_cell_angle_beta 90.00
_cell_angle_gamma 90.00
loop_
_atom_site_label
_atom_site_fract_x
_atom_site_fract_y
_atom_site_fract_z
Ag1 0.0000 0.0000 0.0000
Mo1 0.2500 0.2500 0.5000
Pt1 0.0000 0.5000 0.0000
```

---

Which of them is the most stable, and which is the least stable? B and A, in that order.

---

A | DFT (GGA-PBEsol) results for AgMoPt2 after structural relaxation.

Cell and atoms, written as CIF:
```
data_AgMoPt2
_symmetry_space_group_name_H-M 'C 1 m 1'
_symmetry_Int_Tables_number 8
_cell_length_a 9.2884
_cell_length_b 2.7481
_cell_length_c 4.8305
_cell_angle_alpha 90.00
_cell_angle_beta 99.17
_cell_angle_gamma 90.00
loop_
_symmetry_equiv_pos_as_xyz
'x,y,z'
'x,-y,z'
'x+1/2,y+1/2,z'
'x+1/2,-y+1/2,z'
loop_
_atom_site_label
_atom_site_fract_x
_atom_site_fract_y
_atom_site_fract_z
Ag1 0.0000 0.0000 0.0000
Mo1 0.2440 0.0000 0.7163
Pt1 0.0012 0.5000 0.5107
Pt2 0.2534 0.5000 0.2273
```

---

B | DFT (GGA-PBEsol) results for AgMoPt2 after structural relaxation.

Cell and atoms, written as CIF:
```
data_AgMoPt2
_symmetry_space_group_name_H-M 'P 4/m m m'
_symmetry_Int_Tables_number 123
_symmetry_space_group_name_Hall '-P 4 2'
_cell_length_a 2.7809
_cell_length_b 2.7809
_cell_length_c 7.8980
_cell_angle_alpha 90.00
_cell_angle_beta 90.00
_cell_angle_gamma 90.00
loop_
_atom_site_label
_atom_site_fract_x
_atom_site_fract_y
_atom_site_fract_z
Ag1 0.0000 0.0000 0.0000
Mo1 0.0000 0.0000 0.5000
Pt1 0.5000 0.5000 0.2654
```

---

Which of them is the most stable, and which is the least stable? B and A, in that order.